This record from Alexandria describes an optimized crystal structure of BeTcSe. The functional is PBE-GGA.

a b c (Å): 4.556 4.556 4.556
angles (deg): 139.83 139.83 58.11
Element x y z (fractional)
Be 0.007 0.007 0.000
Tc 0.655 0.655 0.000
Se 0.338 0.338 0.000

As for the total magnetic moment: 0.00 μB/cell. The density of states at the Fermi level comes out at 1.52 states/eV per cell. For the formation energy (no corrections), the calculation gives 0.04 eV per atom. The offset from the most stable computed form comes out at 0.0 meV/atom.